Version A
Here is a relaxed CeGdY crystal from Alexandria via LeMat-Bulk. Energies are from PBE.

The value obtained for the total moment is 6.78 μB per formula unit.

abc: 3.5451 3.5451 14.9356
angles: 90.00 90.00 90.00
Closest atoms and distances in Å follow each position.
Space group I4mm (No. 107)
Symmetry-distinct sites (fractional):
Ce: 0.0000 0.0000 0.0000 x2  4 Gd 3.45, 4 Y 3.50, 4 Ce 3.55
Gd: 0.0000 0.0000 0.6591 x2  4 Ce 3.45, 4 Gd 3.55, 4 Y 3.65
Y: 0.0000 0.0000 0.3369 x2  4 Ce 3.50, 4 Y 3.55, 4 Gd 3.65


Version B
Here is a relaxed CeGdY crystal from Alexandria via LeMat-Bulk. Energies are from PBE.

The value obtained for the total moment is 6.76 μB per formula unit.

abc: 3.5400 3.5400 8.6451
angles: 90.00 90.00 120.00
Closest atoms and distances in Å follow each position.
Space group P3m1 (No. 156)
Symmetry-distinct sites (fractional):
Ce: 0.0000 0.0000 0.0000 x1  3 Gd 3.47, 3 Y 3.51, 6 Ce 3.54
Gd: 0.6667 0.3333 0.3248 x1  3 Ce 3.47, 6 Gd 3.54, 3 Y 3.62
Y: 0.3333 0.6667 0.6706 x1  3 Ce 3.51, 6 Y 3.54, 3 Gd 3.62


Quick one: least stable of them? version A


Version A
Here is a relaxed CeGd2Zn crystal from Alexandria via LeMat-Bulk. Energies are from PBE.

The value obtained for the total moment is 17.78 μB per formula unit.

abc: 7.5127 7.5127 7.5127
angles: 90.00 90.00 90.00
Closest atoms and distances in Å follow each position.
Space group Fm-3m (No. 225)
Symmetry-distinct sites (fractional):
Ce: 0.0000 0.0000 0.0000 x4  8 Gd 3.25
Gd: 0.2500 0.2500 0.2500 x8  4 Zn 3.25, 4 Ce 3.25
Zn: 0.0000 0.0000 0.5000 x4  8 Gd 3.25


Version B
Here is a relaxed CeGd2Zn crystal from Alexandria via LeMat-Bulk. Energies are from PBE.

The value obtained for the total moment is 13.94 μB per formula unit.

abc: 4.1164 4.1164 28.1522
angles: 90.00 90.00 120.00
Closest atoms and distances in Å follow each position.
Space group R-3m (No. 166, hexagonal axes)
Symmetry-distinct sites (fractional):
Ce: 0.0000 0.0000 0.0000 x3  6 Gd 2.88
Gd: 0.0000 0.0000 0.3912 x6  3 Ce 2.88, 1 Zn 3.06
Zn: 0.0000 0.0000 0.5000 x3  2 Gd 3.06


Version C
Here is a relaxed CeGd2Zn crystal from Alexandria via LeMat-Bulk. Energies are from PBE.

The value obtained for the total moment is 16.22 μB per formula unit.

abc: 4.8225 4.8225 4.6332
angles: 90.00 90.00 90.00
Closest atoms and distances in Å follow each position.
Space group P4/mmm (No. 123)
Symmetry-distinct sites (fractional):
Ce: 0.0000 0.0000 0.0000 x1  8 Gd 3.34, 4 Zn 3.41
Gd: 0.0000 0.5000 0.5000 x2  4 Ce 3.34, 4 Zn 3.34, 4 Gd 3.41
Zn: 0.5000 0.5000 0.0000 x1  8 Gd 3.34, 4 Ce 3.41


Quick one: least stable of them? version B